Record 1
Compound: BaHgAu5
Source: Alexandria via LeMat-Bulk
Functional: PBE
Structure: relaxed

Geometry as POSCAR:
```
BaHgAu5
1.0
9.548 0.000 0.000
0.000 5.701 0.000
0.000 0.000 11.790
Ba Hg Au
4 4 20
direct
0.240 0.250 0.062
0.260 0.750 0.562
0.740 0.250 0.438
0.760 0.750 0.938
0.137 0.750 0.864
0.363 0.250 0.364
0.637 0.750 0.636
0.863 0.250 0.136
0.060 0.750 0.096
0.071 0.006 0.308
0.071 0.494 0.308
0.082 0.250 0.517
0.181 0.250 0.748
0.319 0.750 0.248
0.418 0.750 0.017
0.429 0.506 0.808
0.429 0.994 0.808
0.440 0.250 0.596
0.560 0.750 0.404
0.571 0.006 0.192
0.571 0.494 0.192
0.582 0.250 0.983
0.681 0.250 0.752
0.819 0.750 0.252
0.918 0.750 0.483
0.929 0.506 0.692
0.929 0.994 0.692
0.940 0.250 0.904
```


Record 2
Compound: Ba2Hg2Au3
Source: Alexandria via LeMat-Bulk
Functional: PBE
Structure: relaxed

Geometry as POSCAR:
```
Ba2Hg2Au3
1.0
2.288 -10.519 0.000
2.288 10.519 0.000
0.000 0.000 8.491
Ba Hg Au
4 4 6
direct
0.058 0.942 0.750
0.158 0.842 0.250
0.842 0.158 0.750
0.942 0.058 0.250
0.314 0.686 0.055
0.314 0.686 0.445
0.686 0.314 0.555
0.686 0.314 0.945
0.225 0.775 0.750
0.443 0.557 0.581
0.443 0.557 0.919
0.557 0.443 0.081
0.557 0.443 0.419
0.775 0.225 0.250
```


Respective V values: 642, 409 Å³ per cell.
Respective DFT total energy values: -3.02, -2.63 eV per atom.